First-principles (PBE) data for an optimized crystal structure of CdAs2RuBr, as listed in the Alexandria database.

Lattice parameters (Å, degrees): 4.743 4.743 5.462 90.00 90.00 90.00
Space group P4/mmm (No. 123)
One atom of each set of equivalent atoms:
Cd 0.000 0.000 0.000 [1 per cell]
As 0.000 0.500 0.500 [2 per cell]
Ru 0.500 0.500 0.500 [1 per cell]
Br 0.500 0.500 0.000 [1 per cell]

Output
Calculated volume = 24.58 Å³ per atom
Magnetic moment = 0.0 Bohr magnetons per cell
Final energy = -3.94 eV per atom
Energy above the lowest structure with this stoichiometry = 0 meV per atom
ΔE_f (raw) = 291.6 meV/atom

First-principles (PBE) data for an optimized crystal structure of TmFeAgCl6, as listed in the Alexandria database.

Lattice parameters (Å, degrees): 6.3259 6.3259 12.2256 90.00 90.00 120.00
Space group P-31c (No. 163)
One atom of each set of equivalent atoms:
Tm 0.3333 0.6667 0.2500 [2 per cell]
Fe 0.3333 0.6667 0.7500 [2 per cell]
Ag 0.0000 0.0000 0.0000 [2 per cell]
Cl 0.0319 0.3719 0.6354 [12 per cell]

Output
Calculated volume = 23.54 Å³ per atom
Magnetic moment = 0.3 Bohr magnetons per cell
Final energy = -4.18 eV per atom
ΔE_f (raw) = -1197.7 meV/atom

First-principles (PBE) data for an optimized crystal structure of Ba11Tl9Au4, as listed in the Alexandria database.

Lattice parameters (Å, degrees): 16.547 24.981 4.242 90.00 90.00 90.00
Space group Cmmm (No. 65)
One atom of each set of equivalent atoms:
Ba 0.000 0.000 0.000 [2 per cell]
Ba 0.000 0.165 0.000 [4 per cell]
Ba 0.000 0.372 0.000 [4 per cell]
Ba 0.197 0.500 0.000 [4 per cell]
Ba 0.241 0.172 0.000 [8 per cell]
Tl 0.000 0.500 0.500 [2 per cell]
Tl 0.100 0.264 0.500 [8 per cell]
Tl 0.144 0.071 0.500 [8 per cell]
Au 0.152 0.399 0.500 [8 per cell]

Output
Energy of formation from the pure elements = -486 meV per atom
Calculated volume = 36.53 Å³ per atom
Magnetic moment = 0.0 Bohr magnetons per cell
Final energy = -2.80 eV per atom

First-principles (PBE) data for an optimized crystal structure of Tb4TlPbC, as listed in the Alexandria database.

Lattice parameters (Å, degrees): 6.914 15.892 6.908 90.00 90.00 90.00
Space group Cmcm (No. 63)
One atom of each set of equivalent atoms:
Tb 0.000 0.089 0.250 [4 per cell]
Tb 0.000 0.409 0.250 [4 per cell]
Tb 0.250 0.250 0.000 [8 per cell]
Tl 0.000 0.112 0.750 [4 per cell]
Pb 0.000 0.390 0.750 [4 per cell]
C 0.000 0.249 0.250 [4 per cell]

Output
Energy of formation from the pure elements = -421 meV per atom
Calculated volume = 27.11 Å³ per atom
Magnetic moment = 0.0 Bohr magnetons per cell
Final energy = -5.25 eV per atom

First-principles (PBE) data for an optimized crystal structure of TlSiS2F, as listed in the Alexandria database.

Lattice parameters (Å, degrees): 4.325 4.325 7.294 90.00 90.00 90.00
Space group P4/mmm (No. 123)
One atom of each set of equivalent atoms:
Tl 0.000 0.000 0.000 [1 per cell]
Si 0.000 0.000 0.500 [1 per cell]
S 0.000 0.500 0.500 [2 per cell]
F 0.500 0.500 0.000 [1 per cell]

Output
Calculated volume = 27.29 Å³ per atom
Magnetic moment = 0.0 Bohr magnetons per cell
Final energy = -3.88 eV per atom
ΔE_f (raw) = -293.0 meV/atom

First-principles (PBE) data for an optimized crystal structure of Ac2SnBi4, as listed in the Alexandria database.

Lattice parameters (Å, degrees): 9.925 10.045 7.068 90.00 134.42 90.00
Space group C2/m (No. 12)
One atom of each set of equivalent atoms:
Ac 0.250 0.250 0.000 [4 per cell]
Sn 0.000 0.000 0.500 [2 per cell]
Bi 0.000 0.000 0.000 [2 per cell]
Bi 0.000 0.500 0.000 [2 per cell]
Bi 0.250 0.250 0.500 [4 per cell]

Output
Energy of formation from the pure elements = -518 meV per atom
Calculated volume = 35.95 Å³ per atom
Magnetic moment = 0.0 Bohr magnetons per cell
Final energy = -4.48 eV per atom
Energy above the lowest structure with this stoichiometry = 9 meV per atom

First-principles (PBE) data for an optimized crystal structure of BiOsCl3, as listed in the Alexandria database.

Lattice parameters (Å, degrees): 5.499 5.499 5.499 90.00 90.00 90.00
Space group Pm-3m (No. 221)
One atom of each set of equivalent atoms:
Bi 0.000 0.000 0.000 [1 per cell]
Os 0.500 0.500 0.500 [1 per cell]
Cl 0.000 0.000 0.500 [3 per cell]

Output
Calculated volume = 33.25 Å³ per atom
Magnetic moment = 4.1 Bohr magnetons per cell
Final energy = -3.24 eV per atom
Energy above the lowest structure with this stoichiometry = 454 meV per atom
ΔE_f (raw) = 887.4 meV/atom

First-principles (PBE) data for an optimized crystal structure of Ti5ReRh4, as listed in the Alexandria database.

Lattice parameters (Å, degrees): 3.146 3.146 15.183 90.00 90.00 90.00
Space group P4/mmm (No. 123)
One atom of each set of equivalent atoms:
Ti 0.000 0.000 0.000 [1 per cell]
Ti 0.000 0.000 0.199 [2 per cell]
Ti 0.000 0.000 0.402 [2 per cell]
Re 0.500 0.500 0.500 [1 per cell]
Rh 0.500 0.500 0.100 [2 per cell]
Rh 0.500 0.500 0.296 [2 per cell]

Output
Energy of formation from the pure elements = -721 meV per atom
Calculated volume = 15.03 Å³ per atom
Magnetic moment = 0.0 Bohr magnetons per cell
Final energy = -8.85 eV per atom

First-principles (PBE) data for an optimized crystal structure of Ac2Si7Rh12, as listed in the Alexandria database.

Lattice parameters (Å, degrees): 9.8934 9.8934 3.9104 90.00 90.00 120.00
Space group P-6 (No. 174)
One atom of each set of equivalent atoms:
Ac 0.0000 0.0000 0.0000 [1 per cell]
Ac 0.3333 0.6667 0.5000 [1 per cell]
Si 0.0553 0.4345 0.0000 [3 per cell]
Si 0.2780 0.2379 0.5000 [3 per cell]
Si 0.6667 0.3333 0.0000 [1 per cell]
Rh 0.0485 0.2755 0.5000 [3 per cell]
Rh 0.1097 0.7099 0.0000 [3 per cell]
Rh 0.3963 0.1891 0.0000 [3 per cell]
Rh 0.5397 0.4450 0.5000 [3 per cell]

Output
Calculated volume = 15.78 Å³ per atom
Magnetic moment = 0.0 Bohr magnetons per cell
Final energy = -7.30 eV per atom
ΔE_f (raw) = -896.3 meV/atom

First-principles (PBE) data for an optimized crystal structure of TcAs2Os, as listed in the Alexandria database.

Lattice parameters (Å, degrees): 2.998 3.990 5.284 90.00 90.22 90.00
Space group P2/m (No. 10)
One atom of each set of equivalent atoms:
Tc 0.000 0.000 0.000 [1 per cell]
As 0.368 0.500 0.766 [2 per cell]
Os 0.500 0.000 0.500 [1 per cell]

Output
Energy of formation from the pure elements = 502 meV per atom
Calculated volume = 15.80 Å³ per atom
Magnetic moment = 0.0 Bohr magnetons per cell
Final energy = -7.22 eV per atom
Energy above the lowest structure with this stoichiometry = 474 meV per atom

First-principles (PBE) data for an optimized crystal structure of YTe3Au, as listed in the Alexandria database.

Lattice parameters (Å, degrees): 5.407 5.407 5.407 90.00 90.00 90.00
Space group Pm-3m (No. 221)
One atom of each set of equivalent atoms:
Y 0.000 0.000 0.000 [1 per cell]
Te 0.000 0.500 0.500 [3 per cell]
Au 0.500 0.500 0.500 [1 per cell]

Output
Calculated volume = 31.61 Å³ per atom
Magnetic moment = 0.0 Bohr magnetons per cell
Final energy = -3.92 eV per atom
Energy above the lowest structure with this stoichiometry = 0 meV per atom
ΔE_f (raw) = -89.1 meV/atom

First-principles (PBE) data for an optimized crystal structure of GaFeAs2Se, as listed in the Alexandria database.

Lattice parameters (Å, degrees): 4.369 4.369 5.351 90.00 90.00 90.00
Space group P4/mmm (No. 123)
One atom of each set of equivalent atoms:
Ga 0.000 0.000 0.000 [1 per cell]
Fe 0.500 0.500 0.500 [1 per cell]
As 0.000 0.500 0.500 [2 per cell]
Se 0.500 0.500 0.000 [1 per cell]

Output
Calculated volume = 20.43 Å³ per atom
Magnetic moment = 0.0 Bohr magnetons per cell
Final energy = -4.56 eV per atom
Energy above the lowest structure with this stoichiometry = 0 meV per atom
ΔE_f (raw) = 290.4 meV/atom

First-principles (PBE) data for an optimized crystal structure of DyHoHgAu, as listed in the Alexandria database.

Lattice parameters (Å, degrees): 3.663 3.663 7.260 90.00 90.00 90.00
Space group P4mm (No. 99)
One atom of each set of equivalent atoms:
Dy 0.000 0.000 0.000 [1 per cell]
Ho 0.000 0.000 0.478 [1 per cell]
Hg 0.500 0.500 0.737 [1 per cell]
Au 0.500 0.500 0.242 [1 per cell]

Output
Energy of formation from the pure elements = -675 meV per atom
Calculated volume = 24.35 Å³ per atom
Magnetic moment = 0.0 Bohr magnetons per cell
Final energy = -3.86 eV per atom
Energy above the lowest structure with this stoichiometry = 0 meV per atom

First-principles (PBE) data for an optimized crystal structure of LiGeAu4, as listed in the Alexandria database.

Lattice parameters (Å, degrees): 6.645 9.093 8.037 90.00 113.37 90.00
Space group C2/c (No. 15)
One atom of each set of equivalent atoms:
Li 0.000 0.124 0.250 [4 per cell]
Ge 0.000 0.374 0.750 [4 per cell]
Au 0.080 0.134 0.955 [8 per cell]
Au 0.129 0.384 0.452 [8 per cell]

Output
Energy of formation from the pure elements = -126 meV per atom
Calculated volume = 18.58 Å³ per atom
Magnetic moment = 0.0 Bohr magnetons per cell
Final energy = -3.40 eV per atom
Energy above the lowest structure with this stoichiometry = 72 meV per atom

First-principles (PBE) data for an optimized crystal structure of Te2IrI, as listed in the Alexandria database.

Lattice parameters (Å, degrees): 9.597 9.597 5.920 90.00 90.00 90.00
Space group I4/mcm (No. 140)
One atom of each set of equivalent atoms:
Te 0.153 0.347 0.000 [8 per cell]
Ir 0.000 0.500 0.250 [4 per cell]
I 0.000 0.000 0.250 [4 per cell]

Output
Calculated volume = 34.08 Å³ per atom
Magnetic moment = 0.0 Bohr magnetons per cell
Final energy = -4.06 eV per atom
Energy above the lowest structure with this stoichiometry = 291 meV per atom
ΔE_f (raw) = 109.7 meV/atom

First-principles (PBE) data for an optimized crystal structure of LaSc2Cu, as listed in the Alexandria database.

Lattice parameters (Å, degrees): 3.434 3.434 8.248 90.00 90.00 90.00
Space group P4mm (No. 99)
One atom of each set of equivalent atoms:
La 0.000 0.000 0.000 [1 per cell]
Sc 0.000 0.000 0.580 [1 per cell]
Sc 0.500 0.500 0.323 [1 per cell]
Cu 0.500 0.500 0.740 [1 per cell]

Output
Energy of formation from the pure elements = -45 meV per atom
Calculated volume = 24.32 Å³ per atom
Magnetic moment = 1.1 Bohr magnetons per cell
Final energy = -5.47 eV per atom
Energy above the lowest structure with this stoichiometry = 33 meV per atom

First-principles (PBE) data for an optimized crystal structure of Ba2ZrSb, as listed in the Alexandria database.

Lattice parameters (Å, degrees): 4.250 5.903 12.208 90.00 90.00 90.00
Space group Imm2 (No. 44)
One atom of each set of equivalent atoms:
Ba 0.000 0.000 0.000 [2 per cell]
Ba 0.000 0.500 0.197 [2 per cell]
Zr 0.000 0.000 0.406 [2 per cell]
Sb 0.000 0.500 0.749 [2 per cell]

Output
Calculated volume = 38.28 Å³ per atom
Magnetic moment = 0.9 Bohr magnetons per cell
Final energy = -4.29 eV per atom
ΔE_f (raw) = -163.5 meV/atom

First-principles (PBE) data for an optimized crystal structure of Np2SbP, as listed in the Alexandria database.

Lattice parameters (Å, degrees): 4.0549 4.0549 21.8933 90.00 90.00 120.00
Space group R3m (No. 160, hexagonal axes)
One atom of each set of equivalent atoms:
Np 0.0000 0.0000 0.0000 [3 per cell]
Np 0.0000 0.0000 0.1896 [3 per cell]
Sb 0.0000 0.0000 0.4269 [3 per cell]
P 0.0000 0.0000 0.5968 [3 per cell]

Output
Calculated volume = 25.98 Å³ per atom
Magnetic moment = 23.8 Bohr magnetons per cell
Final energy = -9.28 eV per atom
Energy above the lowest structure with this stoichiometry = 79 meV per atom
ΔE_f (raw) = -426.2 meV/atom

First-principles (PBE) data for an optimized crystal structure of AlPS2F, as listed in the Alexandria database.

Lattice parameters (Å, degrees): 4.968 4.968 3.624 90.00 90.00 90.00
Space group P4/mmm (No. 123)
One atom of each set of equivalent atoms:
Al 0.000 0.000 0.000 [1 per cell]
P 0.500 0.500 0.000 [1 per cell]
S 0.000 0.500 0.500 [2 per cell]
F 0.500 0.500 0.500 [1 per cell]

Output
Calculated volume = 17.89 Å³ per atom
Magnetic moment = 0.0 Bohr magnetons per cell
Final energy = -3.31 eV per atom
Energy above the lowest structure with this stoichiometry = 295 meV per atom
ΔE_f (raw) = 543.7 meV/atom

First-principles (PBE) data for an optimized crystal structure of PrB4C2, as listed in the Alexandria database.

Lattice parameters (Å, degrees): 6.106 6.106 4.538 90.00 90.00 90.00
Space group P4_2/mnm (No. 136)
One atom of each set of equivalent atoms:
Pr 0.000 0.000 0.000 [2 per cell]
B 0.054 0.381 0.500 [8 per cell]
C 0.190 0.190 0.500 [4 per cell]

Output
Energy of formation from the pure elements = 183 meV per atom
Calculated volume = 12.08 Å³ per atom
Magnetic moment = 0.0 Bohr magnetons per cell
Final energy = -6.95 eV per atom

First-principles (PBE) data for an optimized crystal structure of Rb2MgBBr6, as listed in the Alexandria database.

Lattice parameters (Å, degrees): 7.385 7.385 10.507 90.00 90.00 90.00
Space group I4/mmm (No. 139)
One atom of each set of equivalent atoms:
Rb 0.000 0.500 0.250 [4 per cell]
Mg 0.000 0.000 0.000 [2 per cell]
B 0.000 0.000 0.500 [2 per cell]
Br 0.000 0.000 0.258 [4 per cell]
Br 0.238 0.238 0.500 [8 per cell]

Output
Calculated volume = 28.66 Å³ per atom
Magnetic moment = 0.0 Bohr magnetons per cell
Final energy = -2.89 eV per atom
ΔE_f (raw) = -863.6 meV/atom

First-principles (PBE) data for an optimized crystal structure of ZrSc2TcO, as listed in the Alexandria database.

Lattice parameters (Å, degrees): 4.998 4.998 4.898 90.00 90.00 90.00
Space group P4/mmm (No. 123)
One atom of each set of equivalent atoms:
Zr 0.000 0.000 0.000 [1 per cell]
Sc 0.000 0.500 0.500 [2 per cell]
Tc 0.000 0.000 0.500 [1 per cell]
O 0.500 0.500 0.000 [1 per cell]

Output
Calculated volume = 24.47 Å³ per atom
Magnetic moment = 0.0 Bohr magnetons per cell
Final energy = -6.81 eV per atom
Energy above the lowest structure with this stoichiometry = 1680 meV per atom
ΔE_f (raw) = 494.9 meV/atom

First-principles (PBE) data for an optimized crystal structure of CaMnSbTe2, as listed in the Alexandria database.

Lattice parameters (Å, degrees): 5.413 5.413 5.083 90.00 90.00 90.00
Space group P4/mmm (No. 123)
One atom of each set of equivalent atoms:
Ca 0.000 0.000 0.000 [1 per cell]
Mn 0.500 0.500 0.500 [1 per cell]
Sb 0.500 0.500 0.000 [1 per cell]
Te 0.000 0.500 0.500 [2 per cell]

Output
Calculated volume = 29.78 Å³ per atom
Magnetic moment = 3.3 Bohr magnetons per cell
Final energy = -4.57 eV per atom
Energy above the lowest structure with this stoichiometry = 0 meV per atom
ΔE_f (raw) = -256.9 meV/atom

First-principles (PBE) data for an optimized crystal structure of SiMo2Au, as listed in the Alexandria database.

Lattice parameters (Å, degrees): 2.9172 2.9172 26.0876 90.00 90.00 120.00
Space group R3m (No. 160, hexagonal axes)
One atom of each set of equivalent atoms:
Si 0.0000 0.0000 0.0000 [3 per cell]
Mo 0.0000 0.0000 0.2587 [3 per cell]
Mo 0.0000 0.0000 0.5098 [3 per cell]
Au 0.0000 0.0000 0.7511 [3 per cell]

Output
Calculated volume = 16.02 Å³ per atom
Magnetic moment = 0.0 Bohr magnetons per cell
Final energy = -7.35 eV per atom
ΔE_f (raw) = 238.1 meV/atom